Record 1
VASP calculation (PBE-GGA) on a relaxed TaBeCl crystal.

Properties
Total magnetic moment in μB/f.u.: 0.0
Raw formation energy in eV/atom: 1.1101
SG: F-43m
Final energy in eV/atom: -4.698
V in Å³/atom: 17.2

Cell: 4.178 4.178 4.178 Å, 60.00 60.00 60.00°
Positions (direct):
Be: 0.000 0.000 0.000
Cl: 0.500 0.500 0.500
Ta: 0.750 0.750 0.750

Record 2
VASP calculation (PBE-GGA) on a relaxed TaBeCl2 crystal.

Properties
Total magnetic moment in μB/f.u.: 0.0
Raw formation energy in eV/atom: 0.0068
SG: R-3m
Final energy in eV/atom: -4.811
V in Å³/atom: 18.3

Cell: 9.273 9.273 9.273 Å, 18.89 18.89 18.89°
Positions (direct):
Be: 0.000 0.000 0.000
Cl: 0.901 0.901 0.901
Cl: 0.099 0.099 0.099
Ta: 0.500 0.500 0.500

Record 3
VASP calculation (PBE-GGA) on a relaxed TaBe2Cl crystal.

Properties
Total magnetic moment in μB/f.u.: 0.0
Raw formation energy in eV/atom: 1.2371
SG: Fm-3m
Final energy in eV/atom: -4.051
V in Å³/atom: 14.6

Cell: 4.358 4.358 4.358 Å, 60.00 60.00 60.00°
Positions (direct):
Be: 0.250 0.250 0.250
Be: 0.750 0.750 0.750
Cl: 0.000 0.000 0.000
Ta: 0.500 0.500 0.500

Record 4
VASP calculation (PBE-GGA) on a relaxed TaBeCl3 crystal.

Properties
Total magnetic moment in μB/f.u.: 3.7
Raw formation energy in eV/atom: 0.3631
SG: Pm-3m
Final energy in eV/atom: -3.861
V in Å³/atom: 18.1

Cell: 4.492 4.492 4.492 Å, 90.00 90.00 90.00°
Each line ends with the local moment (μB).
Positions (direct):
Be: 0.000 0.000 0.000  0.01
Cl: 0.000 0.500 0.000  -0.01
Cl: 0.000 0.000 0.500  0.01
Cl: 0.500 0.000 0.000  -0.01
Ta: 0.500 0.500 0.500  2.37

Record 5
VASP calculation (PBE-GGA) on a relaxed TaBeCl2 crystal.

Properties
Total magnetic moment in μB/f.u.: 0.7
Raw formation energy in eV/atom: 0.7163
SG: I-4m2
Final energy in eV/atom: -4.102
V in Å³/atom: 16.3

Cell: 5.776 5.776 5.776 Å, 144.31 144.31 51.36°
Each line ends with the local moment (μB).
Positions (direct):
Be: 0.750 0.250 0.500  -0.02
Cl: 0.000 0.000 0.000  0.00
Cl: 0.250 0.750 0.500  0.03
Ta: 0.500 0.500 0.000  0.52

Record 6
VASP calculation (PBE-GGA) on a relaxed TaBeCl2 crystal.

Properties
Total magnetic moment in μB/f.u.: 0.0
Raw formation energy in eV/atom: -0.3691
SG: Cmm2
Final energy in eV/atom: -5.187
V in Å³/atom: 20.4

Cell: 3.234 3.234 9.475 Å, 90.00 90.00 124.61°
Positions (direct):
Be: 0.500 0.500 0.756
Cl: 0.000 0.000 0.898
Cl: 0.500 0.500 0.320
Ta: 0.000 0.000 0.526